Density functional theory data (PBE) for an optimized crystal structure of ZrAs3P.

Lattice parameters (Å, degrees): 5.1751 5.1751 5.1751 90.00 90.00 90.00
With the nearest neighbours (Å) after each atom.
Fractional positions:
As (0.0000, 0.0000, 0.5000)  2 Zr 2.59
As (0.5000, 0.0000, 0.0000)  2 Zr 2.59
As (0.0000, 0.5000, 0.0000)  2 Zr 2.59
P (0.5000, 0.5000, 0.5000)  12 As 3.66
Zr (0.0000, 0.0000, 0.0000)  6 As 2.59

Calculated values
calculated volume: 139 Å³ per cell
space group: No. 221
energy relative to the elements: 742 meV per atom
polymorph energy (0 for the lowest one): 1.82 eV per formula unit